DFT (PBE+U) results for an optimized crystal structure of CrSCl2O.

It has space group P4/mmm (No. 123), with a = 4.517 Å, b = 4.517 Å, c = 4.218 Å, α = 90.00°, β = 90.00° and γ = 90.00°. The distinct sites, in fractional coordinates, are Cr at (0.000, 0.000, 0.000), S at (0.500, 0.500, 0.000), Cl at (0.000, 0.500, 0.500) and O at (0.500, 0.500, 0.500).

As for the total moment: 0.003 μB/atom. The energy above the most stable polymorph in this dataset is 593 meV per atom. The calculation puts the volume at 86.05 Å³/f.u.